No. 1
This record from the Alexandria database describes an optimized crystal structure of V9O22. The functional is GGA-PBEsol.

Geometry as POSCAR:
```
V9O22
1.0
3.5823 0.0000 0.0000
0.0000 10.1332 -0.0235
0.0000 -4.3665 20.8040
O V
44 18
direct
0.7500 0.8843 0.0941 O
0.7500 0.7091 0.1727 O
0.2500 0.5003 0.9538 O
0.2500 0.2863 0.6417 O
0.7500 0.0244 0.7871 O
0.2500 0.6634 0.6629 O
0.2500 0.3066 0.4364 O
0.7500 0.7137 0.3583 O
0.7500 0.8724 0.6667 O
0.2500 0.1372 0.5193 O
0.2500 0.1276 0.3333 O
0.7500 0.8536 0.8976 O
0.2500 0.4393 0.1323 O
0.7500 0.0910 0.4246 O
0.7500 0.7080 0.9888 O
0.2500 0.9756 0.2129 O
0.2500 0.2909 0.8273 O
0.7500 0.4997 0.0462 O
0.7500 0.2492 0.7323 O
0.7500 0.0795 0.0042 O
0.2500 0.1464 0.1024 O
0.2500 0.4424 0.5562 O
0.2500 0.0776 0.6965 O
0.2500 0.2920 0.0112 O
0.7500 0.5576 0.4438 O
0.2500 0.7508 0.2677 O
0.7500 0.0814 0.6063 O
0.2500 0.1157 0.9059 O
0.2500 0.4639 0.7487 O
0.7500 0.9224 0.3035 O
0.7500 0.3302 0.9208 O
0.2500 0.2679 0.2387 O
0.7500 0.5017 0.6552 O
0.7500 0.5361 0.2513 O
0.2500 0.9186 0.3937 O
0.7500 0.3366 0.3371 O
0.7500 0.6934 0.5636 O
0.2500 0.6698 0.0792 O
0.2500 0.4983 0.3448 O
0.2500 0.9090 0.5754 O
0.7500 0.8628 0.4807 O
0.7500 0.7321 0.7613 O
0.2500 0.9205 0.9958 O
0.7500 0.5607 0.8677 O
0.2500 0.1198 0.0270 V
0.2500 0.2997 0.3140 V
0.7500 0.8850 0.4057 V
0.7500 0.8802 0.9730 V
0.7500 0.0506 0.7167 V
0.7500 0.7003 0.6860 V
0.2500 0.9494 0.2833 V
0.2500 0.2747 0.9104 V
0.7500 0.8526 0.5717 V
0.2500 0.1150 0.5943 V
0.2500 0.4644 0.6315 V
0.7500 0.5336 0.9380 V
0.2500 0.1474 0.4283 V
0.7500 0.6945 0.2530 V
0.7500 0.7253 0.0896 V
0.2500 0.4664 0.0620 V
0.7500 0.5356 0.3685 V
0.2500 0.3055 0.7470 V
```

Computed properties:
Size of the total moment (Bohr magnetons per cell): 0.19
Total DFT energy (no corrections) (eV per atom): -8.79

No. 2
This record from the Alexandria database describes an optimized crystal structure of CrAgAsBr2. The functional is GGA-PBEsol.

Geometry as POSCAR:
```
CrAgAsBr2
1.0
4.6817 0.0000 0.0000
0.0000 5.0328 0.0000
0.0000 0.0000 5.0328
Cr Br As Ag
1 2 1 1
direct
0.0000 0.0000 0.0000 Cr
0.0000 0.5000 0.0000 Br
0.0000 0.0000 0.5000 Br
0.5000 0.0000 0.0000 As
0.5000 0.5000 0.5000 Ag
```

Computed properties:
Size of the total moment (Bohr magnetons per cell): 2.29
Total DFT energy (no corrections) (eV per atom): -4.21

No. 3
This record from the Alexandria database describes an optimized crystal structure of Mg4Sn6Pt5. The functional is GGA-PBEsol.

Geometry as POSCAR:
```
Mg4Sn6Pt5
1.0
-1.7492 0.0462 -4.0902
0.1069 -3.6738 -2.5066
-16.7329 -6.3629 4.6647
Pt Sn Mg
5 6 4
direct
0.5495 0.5495 0.3515 Pt
0.1504 0.1504 0.5489 Pt
0.7505 0.7505 0.7484 Pt
0.3507 0.3507 0.9479 Pt
0.9488 0.9488 0.1536 Pt
0.1998 0.1998 0.4007 Sn
0.8002 0.8002 0.5993 Sn
0.7005 0.7005 0.8984 Sn
0.4028 0.4028 0.7917 Sn
0.5990 0.5990 0.2031 Sn
0.9978 0.9978 0.0066 Sn
0.2991 0.2991 0.1026 Mg
0.5000 0.5000 0.5001 Mg
0.8994 0.8994 0.3017 Mg
0.1015 0.1015 0.6956 Mg
```

Computed properties:
Size of the total moment (Bohr magnetons per cell): 0.00
ΔH_f (0 K) (kJ/mol of formula units): -928
Total DFT energy (no corrections) (eV per atom): -5.12

No. 4
This record from the Alexandria database describes an optimized crystal structure of As2BrNF. The functional is GGA-PBEsol.

Geometry as POSCAR:
```
As2BrNF
1.0
-0.0770 -2.0122 -3.7667
0.6290 -3.7316 1.9805
-4.4947 -0.5523 0.3869
As F N Br
2 1 1 1
direct
0.0000 0.5000 0.0000 As
0.5000 0.0000 0.0000 As
0.5000 0.5000 0.5000 F
0.0000 0.0000 0.0000 N
0.0000 0.0000 0.5000 Br
```

Computed properties:
Size of the total moment (Bohr magnetons per cell): 0.00
Total DFT energy (no corrections) (eV per atom): -3.92

No. 5
This record from the Alexandria database describes an optimized crystal structure of LiAl2Ag. The functional is GGA-PBEsol.

Geometry as POSCAR:
```
LiAl2Ag
1.0
-1.5500 0.2523 2.3586
1.9801 -1.4138 1.4524
3.7142 6.9460 1.6980
Al Li Ag
2 1 1
direct
0.5000 0.5000 0.7563 Al
0.0000 0.0000 0.0031 Al
0.0000 0.0000 0.4966 Li
0.5000 0.5000 0.2440 Ag
```

Computed properties:
Size of the total moment (Bohr magnetons per cell): 0.00
ΔH_f (0 K) (kJ/mol of formula units): -35
Total DFT energy (no corrections) (eV per atom): -3.46

No. 6
This record from the Alexandria database describes an optimized crystal structure of CoAg2Sb. The functional is GGA-PBEsol.

Geometry as POSCAR:
```
CoAg2Sb
1.0
3.1182 0.0000 0.0179
0.0000 3.1184 0.0000
-0.0333 0.0000 6.8731
Ag Co Sb
2 1 1
direct
0.0007 0.0000 0.0224 Ag
0.5001 0.5000 0.2706 Ag
0.9998 0.0000 0.5059 Co
0.4994 0.5000 0.7011 Sb
```

Computed properties:
Size of the total moment (Bohr magnetons per cell): 0.58
Total DFT energy (no corrections) (eV per atom): -4.55

No. 7
This record from the Alexandria database describes an optimized crystal structure of CaMgTe3. The functional is GGA-PBEsol.

Geometry as POSCAR:
```
CaMgTe3
1.0
-1.9345 4.5452 -2.8413
-5.3361 -1.3467 1.4787
0.5080 3.1625 4.7132
Ca Mg Te
1 1 3
direct
0.0000 0.0000 0.0000 Ca
0.5000 0.5000 0.5000 Mg
0.0000 0.0000 0.5000 Te
0.0000 0.5000 0.0000 Te
0.5000 0.0000 0.0000 Te
```

Computed properties:
Size of the total moment (Bohr magnetons per cell): 0.00
Total DFT energy (no corrections) (eV per atom): -2.85

No. 8
This record from the Alexandria database describes an optimized crystal structure of TcSbIr2. The functional is GGA-PBEsol.

Geometry as POSCAR:
```
TcSbIr2
1.0
-2.7212 0.2148 -0.8587
2.4658 -1.9160 -3.5252
-1.1741 -3.9866 2.7233
Tc Ir Sb
1 2 1
direct
0.2483 0.4965 0.7845 Tc
0.7537 0.5074 0.2406 Ir
0.9961 0.9921 0.9846 Ir
0.5020 0.0040 0.4903 Sb
```

Computed properties:
Size of the total moment (Bohr magnetons per cell): 0.00
Total DFT energy (no corrections) (eV per atom): -8.72